Entry from Alexandria: an optimized crystal structure of YSiRh2 (GGA-PBE).

For the density of states at the Fermi level, the calculation gives 7.0 states/eV per cell. The total energy is -7.420 eV/atom. Its volume is 222.3 Å³/cell. The uncorrected formation energy is -0.7725 eV per atom.

The structure belongs to space group R3m (No. 160, hexagonal axes); the cell edges are 4.0748, 4.0748 and 15.4609 Å and the angles 90.00°, 90.00° and 120.00°. The distinct sites, in fractional coordinates, are Y at (0.0000, 0.0000, 0.0000), Si at (0.0000, 0.0000, 0.8089), Rh at (0.0000, 0.0000, 0.2018) and Rh at (0.0000, 0.0000, 0.4420).